# 1
First-principles (PBE) data for KVZn3 after structural relaxation, as listed in Alexandria.

Output
Uncorrected energy (eV/f.u.): -11.7

Cell: 5.1191 5.1191 5.1191 Å, 90.00 90.00 90.00°
Atoms (fractional coordinates):
Zn: 0.0000 0.5000 0.0000
Zn: 0.0000 0.0000 0.5000
Zn: 0.5000 0.0000 0.0000
V: 0.0000 0.0000 0.0000
K: 0.5000 0.5000 0.5000

# 2
First-principles (PBE) data for TbDyIn2 after structural relaxation, as listed in Alexandria.

Output
Uncorrected energy (eV/f.u.): -16.0

Cell: 3.6982 3.6982 9.9511 Å, 79.29 79.29 60.00°
Atoms (fractional coordinates):
In: 0.7497 0.7497 0.7508
In: 0.2503 0.2503 0.2492
Dy: 0.0000 0.0000 0.0000
Tb: 0.5000 0.5000 0.5000

# 3
First-principles (PBE) data for LiHPd2 after structural relaxation, as listed in Alexandria.

Output
Energy above the lowest structure with this stoichiometry (eV per atom): 0.039
Uncorrected energy (eV/f.u.): -16.7

Cell: 6.1543 6.1543 5.0317 Å, 52.30 52.30 90.00°
Atoms (fractional coordinates):
Pd: 0.5158 0.1250 0.2500
Pd: 0.3750 0.4842 0.7500
Pd: 0.2342 0.6250 0.2500
Pd: 0.8750 0.7658 0.7500
Li: 0.7500 0.2500 0.5000
Li: 0.0000 0.0000 0.0000
H: 0.2500 0.7500 0.5000
H: 0.5000 0.5000 0.0000

# 4
First-principles (PBE) data for DyEr5TlIn2 after structural relaxation, as listed in Alexandria.

Output
Uncorrected energy (eV/f.u.): -35.5

Cell: 8.4613 8.4613 9.3396 Å, 116.94 116.94 90.00°
Atoms (fractional coordinates):
Er: 0.4234 0.3447 0.2682
Er: 0.3447 0.8447 0.2682
Er: 0.1553 0.0766 0.7318
Er: 0.8447 0.9234 0.2682
Er: 0.5766 0.6553 0.7318
Er: 0.5000 0.5000 0.0000
Er: 0.6553 0.1553 0.7318
Er: 0.9234 0.4234 0.2682
Er: 0.0766 0.5766 0.7318
Er: 0.0000 0.0000 0.0000
In: 0.3888 0.8888 0.0000
In: 0.1112 0.3888 0.0000
In: 0.8888 0.6112 0.0000
In: 0.6112 0.1112 0.0000
Tl: 0.2500 0.2500 0.5000
Tl: 0.7500 0.7500 0.5000
Dy: 0.2500 0.7500 0.5000
Dy: 0.7500 0.2500 0.5000

# 5
First-principles (PBE) data for TbEr4Cd2 after structural relaxation, as listed in Alexandria.

Output
Uncorrected energy (eV/f.u.): -23.2

Cell: 5.0607 5.0607 10.5694 Å, 76.15 76.15 60.00°
Atoms (fractional coordinates):
Cd: 0.6005 0.6005 0.1985
Cd: 0.3995 0.3995 0.8015
Tb: 0.5000 0.5000 0.5000
Er: 0.7027 0.7027 0.8918
Er: 0.2973 0.2973 0.1082
Er: 0.1060 0.1060 0.6819
Er: 0.8940 0.8940 0.3181

# 6
First-principles (PBE) data for Y3Np3TiN8 after structural relaxation, as listed in Alexandria.

Output
Formation energy (no corrections) (eV/f.u.): -19.6
Uncorrected energy (eV/f.u.): -152.3

Cell: 6.7274 6.7285 6.8115 Å, 119.60 90.00 119.99°
Atoms (fractional coordinates):
Y: 0.0000 0.5000 0.0000
Y: 0.0000 0.0000 0.0000
Y: 0.5000 0.5000 0.0000
N: 0.2405 0.0155 0.2905
N: 0.7498 0.4996 0.7493
N: 0.2250 0.9845 0.7095
N: 0.7595 0.9845 0.7095
N: 0.2502 0.5004 0.2507
N: 0.7750 0.5499 0.2904
N: 0.2250 0.4501 0.7096
N: 0.7750 0.0155 0.2905
Np: 0.5000 0.5000 0.5000
Np: 0.5000 0.0000 0.5000
Np: 0.0000 0.5000 0.5000
Ti: 0.0000 0.0000 0.5000

# 7
First-principles (PBE) data for CeThHgBi after structural relaxation, as listed in Alexandria.

Output
Uncorrected energy (eV/f.u.): -18.9

Cell: 5.5012 5.5012 5.5012 Å, 60.00 60.00 60.00°
Atoms (fractional coordinates):
Bi: 0.2500 0.2500 0.2500
Hg: 0.7500 0.7500 0.7500
Th: 0.5000 0.5000 0.5000
Ce: 0.0000 0.0000 0.0000

# 8
First-principles (PBE) data for LiZr2Ni after structural relaxation, as listed in Alexandria.

Output
Uncorrected energy (eV/f.u.): -25.0

Cell: 4.5185 4.5174 3.3797 Å, 90.00 90.00 90.00°
Atoms (fractional coordinates):
Ni: 0.0000 0.5000 0.5000
Li: 0.5000 0.0000 0.5000
Zr: 0.0000 0.0000 0.0000
Zr: 0.5000 0.5000 0.0000

# 9
First-principles (PBE) data for Na3Ag2O3 after structural relaxation, as listed in Alexandria.

Output
Formation energy (no corrections) (eV/f.u.): -5.1
Uncorrected energy (eV/f.u.): -29.6

Cell: 3.2399 6.4445 11.4391 Å, 90.00 90.00 104.56°
Atoms (fractional coordinates):
O: 0.3886 0.7773 0.5647
O: 0.6114 0.2227 0.0647
O: 0.3680 0.7360 0.2500
O: 0.3886 0.7773 0.9353
O: 0.6114 0.2227 0.4353
O: 0.6320 0.2640 0.7500
Na: 0.0799 0.1599 0.5879
Na: 0.9200 0.8401 0.4121
Na: 0.9200 0.8401 0.0879
Na: 0.5524 0.1048 0.2500
Na: 0.4476 0.8952 0.7500
Na: 0.0799 0.1599 0.9121
Ag: 0.2253 0.4507 0.1264
Ag: 0.7747 0.5493 0.8736
Ag: 0.7747 0.5493 0.6264
Ag: 0.2253 0.4507 0.3736

# 10
First-principles (PBE) data for TbSm6Dy2Ho after structural relaxation, as listed in Alexandria.

Output
Uncorrected energy (eV/f.u.): -45.5

Cell: 9.6146 8.8804 8.8804 Å, 117.82 93.90 93.90°
Atoms (fractional coordinates):
Dy: 0.9549 0.6999 0.8003
Dy: 0.4549 0.8003 0.6999
Dy: 0.0451 0.3001 0.1997
Dy: 0.5451 0.1997 0.3001
Tb: 0.7500 0.0260 0.9740
Tb: 0.2500 0.9740 0.0260
Sm: 0.1192 0.7084 0.4922
Sm: 0.3139 0.9862 0.4335
Sm: 0.9451 0.8805 0.2422
Sm: 0.8139 0.4335 0.9862
Sm: 0.0549 0.1195 0.7578
Sm: 0.3808 0.5078 0.2916
Sm: 0.1861 0.5665 0.0138
Sm: 0.6192 0.4922 0.7084
Sm: 0.5549 0.7578 0.1195
Sm: 0.6861 0.0138 0.5665
Sm: 0.4451 0.2422 0.8805
Sm: 0.8808 0.2916 0.5078
Ho: 0.7500 0.5903 0.4097
Ho: 0.2500 0.4097 0.5903

# 11
First-principles (PBE) data for Sc3CdH after structural relaxation, as listed in Alexandria.

Output
Energy above the lowest structure with this stoichiometry (eV per atom): 0.000
Uncorrected energy (eV/f.u.): -24.6

Cell: 4.5072 4.5072 4.5072 Å, 90.00 90.00 90.00°
Atoms (fractional coordinates):
Sc: 0.0000 0.5000 0.0000
Sc: 0.0000 0.0000 0.5000
Sc: 0.5000 0.0000 0.0000
Cd: 0.5000 0.5000 0.5000
H: 0.0000 0.0000 0.0000

# 12
First-principles (PBE) data for Ho2Ga3Hg after structural relaxation, as listed in Alexandria.

Output
Energy above the lowest structure with this stoichiometry (eV per atom): 0.000
Uncorrected energy (eV/f.u.): -21.9

Cell: 7.4728 8.9109 8.9109 Å, 120.00 90.00 90.00°
Atoms (fractional coordinates):
Ho: 0.7500 0.5088 0.0176
Ho: 0.7500 0.0000 0.0000
Ho: 0.2500 0.4912 0.5088
Ho: 0.2500 0.4912 0.9824
Ho: 0.7500 0.9824 0.4912
Ho: 0.2500 0.0176 0.5088
Ho: 0.7500 0.5088 0.4912
Ho: 0.2500 0.0000 0.0000
Ga: 0.9793 0.8371 0.1629
Ga: 0.0207 0.6742 0.8371
Ga: 0.0207 0.1629 0.8371
Ga: 0.4793 0.1629 0.3258
Ga: 0.9793 0.8371 0.6742
Ga: 0.9793 0.3258 0.1629
Ga: 0.4793 0.1629 0.8371
Ga: 0.0207 0.1629 0.3258
Ga: 0.5207 0.8371 0.6742
Ga: 0.5207 0.8371 0.1629
Ga: 0.4793 0.6742 0.8371
Ga: 0.5207 0.3258 0.1629
Hg: 0.9553 0.3333 0.6667
Hg: 0.0447 0.6667 0.3333
Hg: 0.4553 0.6667 0.3333
Hg: 0.5447 0.3333 0.6667

# 13
First-principles (PBE) data for PaInCl6 after structural relaxation, as listed in Alexandria.

Output
Formation energy (no corrections) (eV/f.u.): -13.1
Uncorrected energy (eV/f.u.): -36.4

Cell: 7.1551 7.1510 7.7880 Å, 62.60 62.57 59.92°
Atoms (fractional coordinates):
Cl: 0.3788 0.7940 0.7754
Cl: 0.7944 0.0519 0.7757
Cl: 0.0516 0.3787 0.7755
Cl: 0.2056 0.9481 0.2243
Cl: 0.6212 0.2060 0.2246
Cl: 0.9484 0.6213 0.2245
In: 0.5000 0.5000 0.5000
Pa: 0.0000 0.0000 0.0000